Entry from Alexandria: a relaxed ZnHgP2 crystal (GGA-PBE).

Properties
As for the raw total energy: -2.7241 eV per atom. As for the total moment: 0.000 μB/f.u. The space-group type is Cmm2 (35).

Structure (POSCAR):
```
ZnHgP2
1.0
1.591 -2.707 0.000
1.591 2.707 0.000
0.000 0.000 9.815
Zn Hg P
1 1 2
direct
0.000 0.000 0.000
0.500 0.500 0.726
0.000 0.000 0.390
0.500 0.500 0.238
```

Entry from Alexandria: a relaxed ZnHgP2 crystal (GGA-PBE).

Properties
As for the raw total energy: -2.9787 eV per atom. As for the total moment: 0.000 μB/f.u. The space-group type is Pm (6).

Structure (POSCAR):
```
ZnHgP2
1.0
4.583 0.000 0.000
0.000 3.238 0.000
-0.107 0.000 6.135
Zn Hg P
1 1 2
direct
0.000 0.000 0.000
0.907 0.500 0.652
0.321 0.000 0.311
0.638 0.500 0.270
```

Entry from Alexandria: a relaxed ZnHg2P crystal (GGA-PBE).

Properties
As for the raw total energy: -1.6998 eV per atom. As for the total moment: 0.000 μB/f.u. The space-group type is Pm (6).

Structure (POSCAR):
```
ZnHg2P
1.0
4.469 0.000 0.000
0.000 4.050 0.000
-2.231 0.000 5.294
Zn Hg P
1 2 1
direct
0.000 0.000 0.000
0.362 0.000 0.721
0.729 0.500 0.455
0.116 0.500 0.228
```

Entry from Alexandria: a relaxed Zn2HgP crystal (GGA-PBE).

Properties
As for the raw total energy: -1.8912 eV per atom. As for the total moment: 0.000 μB/f.u. The space-group type is P2/m (10).

Structure (POSCAR):
```
Zn2HgP
1.0
2.722 0.000 0.000
0.000 3.681 0.000
-0.307 0.000 7.551
Zn Hg P
2 1 1
direct
0.016 0.000 0.225
0.984 0.000 0.775
0.500 0.500 0.500
0.000 0.500 0.000
```

Entry from Alexandria: a relaxed Zn2HgP crystal (GGA-PBE).

Properties
As for the raw total energy: -1.6426 eV per atom. As for the total moment: 0.000 μB/f.u. The space-group type is F-43m (216).

Structure (POSCAR):
```
Zn2HgP
1.0
0.000 3.333 3.333
3.333 0.000 3.333
3.333 3.333 0.000
Zn Hg P
2 1 1
direct
0.000 0.000 0.000
0.250 0.250 0.250
0.500 0.500 0.500
0.750 0.750 0.750
```

Entry from Alexandria: a relaxed ZnHg2P crystal (GGA-PBE).

Properties
As for the raw total energy: -1.3565 eV per atom. As for the total moment: 0.000 μB/f.u. The space-group type is P4/mmm (123).

Structure (POSCAR):
```
ZnHg2P
1.0
4.917 0.000 0.000
0.000 4.917 0.000
0.000 0.000 3.388
Zn Hg P
1 2 1
direct
0.000 0.000 0.000
0.000 0.500 0.500
0.500 0.000 0.500
0.500 0.500 0.000
```